(1)
This record from the Alexandria database describes a relaxed structure of Ac3Pm12Sn5. The functional is PBE.

Computed properties:
Crystal system = cubic
Energy relative to the elements = 0.29 eV per atom
Mass density = 5.915 g cm⁻³

Cell lengths 16.3836, 16.3836, 16.3836 Å; angles 109.47, 109.47, 109.47 degrees
Last column: nearest neighbours and their distance in Å.
Atoms (fractional coordinates):
Ac  0.1250  0.2500  0.3750  8 Pm 3.45-3.79
Ac  0.1250  0.3750  0.7500  8 Pm 3.45-3.79
Ac  0.2500  0.3750  0.1250  8 Pm 3.45-3.79
Ac  0.2500  0.8750  0.6250  8 Pm 3.45-3.79
Ac  0.3750  0.1250  0.2500  8 Pm 3.45-3.79
Ac  0.3750  0.7500  0.1250  8 Pm 3.45-3.79
Ac  0.6250  0.2500  0.8750  8 Pm 3.45-3.79
Ac  0.6250  0.8750  0.7500  8 Pm 3.45-3.79
Ac  0.7500  0.1250  0.3750  8 Pm 3.45-3.79
Ac  0.7500  0.6250  0.8750  8 Pm 3.45-3.79
Ac  0.8750  0.6250  0.2500  8 Pm 3.45-3.79
Ac  0.8750  0.7500  0.6250  8 Pm 3.45-3.79
Pm  0.0416  0.2155  0.1145  2 Sn 3.01-3.09
Pm  0.0416  0.3261  0.9270  2 Sn 3.01-3.09
Pm  0.0730  0.6145  0.3991  2 Sn 3.01-3.09
Pm  0.0730  0.9584  0.6739  2 Sn 3.01-3.09
Pm  0.1009  0.7155  0.6739  2 Sn 3.01-3.09
Pm  0.1009  0.8855  0.4270  2 Sn 3.01-3.09
Pm  0.1145  0.0416  0.2155  2 Sn 3.01-3.09
Pm  0.1145  0.5730  0.8991  2 Sn 3.01-3.09
Pm  0.1739  0.2155  0.6009  2 Sn 3.01-3.09
Pm  0.1739  0.4584  0.5730  2 Sn 3.01-3.09
Pm  0.2155  0.1145  0.0416  2 Sn 3.01-3.09
Pm  0.2155  0.6009  0.1739  2 Sn 3.01-3.09
Pm  0.2845  0.3261  0.8991  2 Sn 3.01-3.09
Pm  0.2845  0.4584  0.3855  2 Sn 3.01-3.09
Pm  0.3261  0.8991  0.2845  2 Sn 3.01-3.09
Pm  0.3261  0.9270  0.0416  2 Sn 3.01-3.09
Pm  0.3855  0.2845  0.4584  2 Sn 3.01-3.09
Pm  0.3855  0.6009  0.9270  2 Sn 3.01-3.09
Pm  0.3991  0.0730  0.6145  2 Sn 3.01-3.09
Pm  0.3991  0.8261  0.7845  2 Sn 3.01-3.09
Pm  0.4270  0.1009  0.8855  2 Sn 3.01-3.09
Pm  0.4270  0.8261  0.5416  2 Sn 3.01-3.09
Pm  0.4584  0.3855  0.2845  2 Sn 3.01-3.09
Pm  0.4584  0.5730  0.1739  2 Sn 3.01-3.09
Pm  0.5416  0.4270  0.8261  2 Sn 3.01-3.09
Pm  0.5416  0.6145  0.7155  2 Sn 3.01-3.09
Pm  0.5730  0.1739  0.4584  2 Sn 3.01-3.09
Pm  0.5730  0.8991  0.1145  2 Sn 3.01-3.09
Pm  0.6009  0.1739  0.2155  2 Sn 3.01-3.09
Pm  0.6009  0.9270  0.3855  2 Sn 3.01-3.09
Pm  0.6145  0.3991  0.0730  2 Sn 3.01-3.09
Pm  0.6145  0.7155  0.5416  2 Sn 3.01-3.09
Pm  0.6739  0.0730  0.9584  2 Sn 3.01-3.09
Pm  0.6739  0.1009  0.7155  2 Sn 3.01-3.09
Pm  0.7155  0.5416  0.6145  2 Sn 3.01-3.09
Pm  0.7155  0.6739  0.1009  2 Sn 3.01-3.09
Pm  0.7845  0.3991  0.8261  2 Sn 3.01-3.09
Pm  0.7845  0.8855  0.9584  2 Sn 3.01-3.09
Pm  0.8261  0.5416  0.4270  2 Sn 3.01-3.09
Pm  0.8261  0.7845  0.3991  2 Sn 3.01-3.09
Pm  0.8855  0.4270  0.1009  2 Sn 3.01-3.09
Pm  0.8855  0.9584  0.7845  2 Sn 3.01-3.09
Pm  0.8991  0.1145  0.5730  2 Sn 3.01-3.09
Pm  0.8991  0.2845  0.3261  2 Sn 3.01-3.09
Pm  0.9270  0.0416  0.3261  2 Sn 3.01-3.09
Pm  0.9270  0.3855  0.6009  2 Sn 3.01-3.09
Pm  0.9584  0.6739  0.0730  2 Sn 3.01-3.09
Pm  0.9584  0.7845  0.8855  2 Sn 3.01-3.09
Sn  0.0000  0.0000  0.0000  6 Pm 3.09
Sn  0.0000  0.0000  0.5000  6 Pm 3.09
Sn  0.0000  0.5000  0.0000  6 Pm 3.09
Sn  0.0000  0.5000  0.5000  6 Pm 3.09
Sn  0.1250  0.7500  0.8750  4 Pm 3.01
Sn  0.1250  0.8750  0.2500  4 Pm 3.01
Sn  0.2500  0.1250  0.8750  4 Pm 3.01
Sn  0.2500  0.6250  0.3750  4 Pm 3.01
Sn  0.3750  0.2500  0.6250  4 Pm 3.01
Sn  0.3750  0.6250  0.7500  4 Pm 3.01
Sn  0.5000  0.0000  0.0000  6 Pm 3.09
Sn  0.5000  0.0000  0.5000  6 Pm 3.09
Sn  0.5000  0.5000  0.0000  6 Pm 3.09
Sn  0.5000  0.5000  0.5000  6 Pm 3.09
Sn  0.6250  0.3750  0.2500  4 Pm 3.01
Sn  0.6250  0.7500  0.3750  4 Pm 3.01
Sn  0.7500  0.3750  0.6250  4 Pm 3.01
Sn  0.7500  0.8750  0.1250  4 Pm 3.01
Sn  0.8750  0.1250  0.7500  4 Pm 3.01
Sn  0.8750  0.2500  0.1250  4 Pm 3.01


(2)
This record from the Alexandria database describes a relaxed structure of AcTbPm2Sm6. The functional is PBE.

Computed properties:
Crystal system = monoclinic
Energy relative to the elements = 0.12 eV per atom
Mass density = 7.431 g cm⁻³

Cell lengths 9.0762, 9.0762, 9.7730 Å; angles 93.08, 93.08, 118.25 degrees
Last column: nearest neighbours and their distance in Å.
Atoms (fractional coordinates):
Ac  0.0243  0.9757  0.7500  4 Pm 3.51-3.59, 4 Sm 3.74-3.87
Ac  0.9757  0.0243  0.2500  4 Pm 3.51-3.59, 4 Sm 3.74-3.87
Tb  0.4105  0.5895  0.2500  6 Sm 3.49-3.63, 4 Pm 3.67-3.89
Tb  0.5895  0.4105  0.7500  6 Sm 3.49-3.63, 4 Pm 3.67-3.89
Pm  0.1986  0.3138  0.5458  6 Sm 3.33-3.62, 2 Ac 3.51-3.59, 1 Tb 3.67
Pm  0.3138  0.1986  0.0458  6 Sm 3.33-3.62, 2 Ac 3.51-3.59, 1 Tb 3.67
Pm  0.6862  0.8014  0.9542  6 Sm 3.33-3.62, 2 Ac 3.51-3.59, 1 Tb 3.67
Pm  0.8014  0.6862  0.4542  6 Sm 3.33-3.62, 2 Ac 3.51-3.59, 1 Tb 3.67
Sm  0.0174  0.5625  0.6859  5 Sm 3.31-3.70, 2 Pm 3.48-3.62, 1 Tb 3.56
Sm  0.1297  0.7478  0.0559  7 Sm 3.50-3.85, 1 Pm 3.62, 1 Ac 3.87
Sm  0.2522  0.8703  0.4441  7 Sm 3.50-3.85, 1 Pm 3.62, 1 Ac 3.87
Sm  0.2898  0.5029  0.8825  4 Sm 3.31-3.58, 3 Pm 3.33-3.50, 2 Tb 3.49-3.63
Sm  0.4375  0.9826  0.8141  5 Sm 3.31-3.70, 2 Pm 3.48-3.62, 1 Tb 3.56
Sm  0.4971  0.7102  0.6175  4 Sm 3.31-3.58, 3 Pm 3.33-3.50, 2 Tb 3.49-3.63
Sm  0.5029  0.2898  0.3825  4 Sm 3.31-3.58, 3 Pm 3.33-3.50, 2 Tb 3.49-3.63
Sm  0.5625  0.0174  0.1859  5 Sm 3.31-3.70, 2 Pm 3.48-3.62, 1 Tb 3.56
Sm  0.7102  0.4971  0.1175  4 Sm 3.31-3.58, 3 Pm 3.33-3.50, 2 Tb 3.49-3.63
Sm  0.7478  0.1297  0.5559  7 Sm 3.50-3.85, 1 Pm 3.62, 1 Ac 3.87
Sm  0.8703  0.2522  0.9441  7 Sm 3.50-3.85, 1 Pm 3.62, 1 Ac 3.87
Sm  0.9826  0.4375  0.3141  5 Sm 3.31-3.70, 2 Pm 3.48-3.62, 1 Tb 3.56


(3)
This record from the Alexandria database describes a relaxed structure of DyTm14Th. The functional is PBE.

Computed properties:
Crystal system = orthorhombic
Energy relative to the elements = 0.06 eV per atom
Mass density = 9.416 g cm⁻³

Cell lengths 10.9033, 6.8428, 6.8428 Å; angles 72.42, 90.00, 90.00 degrees
Last column: nearest neighbours and their distance in Å.
Atoms (fractional coordinates):
Dy  0.0000  0.0000  0.0000  10 Tm 3.32-3.50
Tm  0.0000  0.5158  0.9261  7 Tm 3.32-3.55, 2 Th 3.36-3.56, 2 Dy 3.41-3.50
Tm  0.0000  0.9261  0.5158  7 Tm 3.32-3.55, 2 Th 3.36-3.56, 2 Dy 3.41-3.50
Tm  0.2334  0.2072  0.2072  9 Tm 3.37-3.68, 1 Dy 3.42, 1 Th 3.59
Tm  0.2501  0.1375  0.7159  9 Tm 3.30-3.59, 1 Dy 3.32, 1 Th 3.59
Tm  0.2501  0.7159  0.1375  9 Tm 3.30-3.59, 1 Dy 3.32, 1 Th 3.59
Tm  0.2682  0.6485  0.6485  10 Tm 3.39-3.63, 1 Th 3.75
Tm  0.5000  0.3433  0.9344  11 Tm 3.31-3.59
Tm  0.5000  0.4121  0.4121  12 Tm 3.44-3.68
Tm  0.5000  0.8601  0.8601  10 Tm 3.30-3.49
Tm  0.5000  0.9344  0.3433  11 Tm 3.31-3.59
Tm  0.7318  0.6485  0.6485  10 Tm 3.39-3.63, 1 Th 3.75
Tm  0.7499  0.1375  0.7159  9 Tm 3.30-3.59, 1 Dy 3.32, 1 Th 3.59
Tm  0.7499  0.7159  0.1375  9 Tm 3.30-3.59, 1 Dy 3.32, 1 Th 3.59
Tm  0.7666  0.2072  0.2072  9 Tm 3.37-3.68, 1 Dy 3.42, 1 Th 3.59
Th  0.0000  0.4359  0.4359  12 Tm 3.36-3.75